[1]
A plane-wave DFT calculation with meta-GGA SCAN was carried out for KFe4Sb12 at its PBEsol-relaxed geometry.

N(E_F)	13.127	states/eV per cell
ΔE_f (raw)	-0.08	eV per atom

```
data_KFe4Sb12
_symmetry_space_group_name_H-M 'I m -3'
_symmetry_Int_Tables_number 204
_symmetry_space_group_name_Hall '-I 2 2 3'
_cell_length_a 9.090
_cell_length_b 9.090
_cell_length_c 9.090
_cell_angle_alpha 90.00
_cell_angle_beta 90.00
_cell_angle_gamma 90.00
loop_
_atom_site_label
_atom_site_fract_x
_atom_site_fract_y
_atom_site_fract_z
K1 0.000 0.000 0.000
Fe1 0.250 0.250 0.250
Sb1 0.000 0.336 0.163
```



[2]
A plane-wave DFT calculation with meta-GGA SCAN was carried out for KFeSb at its PBEsol-relaxed geometry.

N(E_F)	28.430	states/eV per cell
ΔE_f (raw)	0.54	eV per atom

```
data_KFeSb
_symmetry_space_group_name_H-M 'F -4 3 m'
_symmetry_Int_Tables_number 216
_symmetry_space_group_name_Hall 'F -4 2 3'
_cell_length_a 7.032
_cell_length_b 7.032
_cell_length_c 7.032
_cell_angle_alpha 90.00
_cell_angle_beta 90.00
_cell_angle_gamma 90.00
loop_
_atom_site_label
_atom_site_fract_x
_atom_site_fract_y
_atom_site_fract_z
K1 0.000 0.000 0.000
Fe1 0.000 0.000 0.500
Sb1 0.250 0.250 0.750
```



Number 1: size of the total moment 3.01 μB per formula unit, final energy -1058.568 eV per cell. Number 2: size of the total moment 3.82 μB per formula unit, final energy -248.425 eV per cell.